CaPr2Te3: optimized geometry, PBE.

Calculated values
formation energy without anion corrections: -144.3 kJ/mol of atoms
E_tot: -4.99 eV per atom
SG: Immm, No. 71

Structure (POSCAR):
```
CaPr2Te3
1.0
4.472 0.000 0.000
0.000 6.387 0.000
-2.236 -3.193 6.863
Ca Pr Te
1 2 3
Direct
0.500 0.500 0.500 Ca
0.831 0.831 0.162 Pr
0.169 0.169 0.838 Pr
0.839 0.339 0.179 Te
0.161 0.661 0.821 Te
0.500 0.000 0.500 Te
```

Ca3Pr5Te8: optimized geometry, PBE.

Calculated values
formation energy without anion corrections: -144.7 kJ/mol of atoms
E_tot: -4.94 eV per atom
SG: R-3m, No. 166

Structure (POSCAR):
```
Ca3Pr5Te8
1.0
7.805 0.000 4.471
2.622 7.352 4.471
-0.023 -0.016 9.088
Ca Pr Te
3 5 8
Direct
0.500 0.000 0.500 Ca
0.000 0.000 0.500 Ca
0.000 0.500 0.500 Ca
0.500 0.000 0.000 Pr
0.500 0.500 0.000 Pr
0.000 0.000 0.000 Pr
0.000 0.500 0.000 Pr
0.500 0.500 0.500 Pr
0.250 0.250 0.744 Te
0.250 0.756 0.744 Te
0.756 0.250 0.744 Te
0.752 0.752 0.743 Te
0.750 0.750 0.256 Te
0.750 0.244 0.256 Te
0.244 0.750 0.256 Te
0.248 0.248 0.257 Te
```

Ca5PrTe6: optimized geometry, PBE.

Calculated values
formation energy without anion corrections: -153.7 kJ/mol of atoms
E_tot: -4.40 eV per atom
SG: C2/m, No. 12

Structure (POSCAR):
```
Ca5PrTe6
1.0
7.686 -0.119 -1.450
-4.152 6.469 -1.450
0.151 0.271 7.824
Pr Ca Te
1 5 6
Direct
0.000 0.000 0.000 Pr
0.834 0.166 0.500 Ca
0.667 0.333 0.000 Ca
0.500 0.500 0.500 Ca
0.333 0.667 0.000 Ca
0.166 0.834 0.500 Ca
0.419 0.084 0.252 Te
0.916 0.581 0.748 Te
0.252 0.252 0.749 Te
0.748 0.748 0.251 Te
0.084 0.419 0.252 Te
0.581 0.916 0.748 Te
```

CaPr4Te5: optimized geometry, PBE.

Calculated values
formation energy without anion corrections: -141.9 kJ/mol of atoms
E_tot: -5.15 eV per atom
SG: I4/m, No. 87

Structure (POSCAR):
```
CaPr4Te5
1.0
-3.841 -3.993 3.209
2.707 -2.062 7.062
-5.292 3.596 4.530
Ca Pr Te
1 4 5
Direct
0.001 0.000 0.000 Ca
0.404 0.401 0.793 Pr
0.805 0.793 0.599 Pr
0.197 0.207 0.401 Pr
0.598 0.599 0.207 Pr
0.902 0.392 0.807 Te
0.294 0.807 0.608 Te
0.708 0.193 0.392 Te
0.100 0.608 0.193 Te
0.501 0.000 0.000 Te
```

CaPr2ThTe4: optimized geometry, PBE.

Calculated values
formation energy without anion corrections: -130.9 kJ/mol of atoms
E_tot: -5.30 eV per atom
SG: P2/m, No. 10

Structure (POSCAR):
```
CaPr2ThTe4
1.0
4.449 0.000 0.000
0.000 7.734 -0.166
0.000 2.714 7.452
Ca Pr Th Te
1 2 1 4
Direct
0.500 0.500 0.000 Ca
0.000 0.000 0.000 Pr
0.500 0.000 0.500 Pr
0.000 0.500 0.500 Th
0.000 0.742 0.756 Te
0.000 0.258 0.244 Te
0.500 0.744 0.248 Te
0.500 0.256 0.752 Te
```

Ca2PrTlTe4: optimized geometry, PBE.

Calculated values
formation energy without anion corrections: -126.4 kJ/mol of atoms
E_tot: -4.27 eV per atom
SG: P2/m, No. 10

Structure (POSCAR):
```
Ca2PrTlTe4
1.0
-1.954 4.052 0.949
-6.925 -3.589 1.063
-0.640 -2.130 7.781
Ca Pr Tl Te
2 1 1 4
Direct
0.000 0.000 0.000 Ca
0.500 0.000 0.500 Ca
0.000 0.500 0.500 Pr
0.500 0.500 0.000 Tl
0.000 0.763 0.732 Te
0.000 0.237 0.268 Te
0.500 0.754 0.258 Te
0.500 0.246 0.742 Te
```

CaPr2TmTe5: optimized geometry, PBE.

Calculated values
formation energy without anion corrections: -94.4 kJ/mol of atoms
E_tot: -4.51 eV per atom
SG: P4/mmm, No. 123

Structure (POSCAR):
```
CaPr2TmTe5
1.0
-0.194 -5.066 2.046
-1.411 -1.931 -4.916
11.133 -1.482 -2.613
Ca Pr Tm Te
1 2 1 5
Direct
0.000 0.000 0.000 Ca
0.500 0.500 0.302 Pr
0.500 0.500 0.698 Pr
0.000 0.000 0.500 Tm
0.000 0.500 0.500 Te
0.500 0.000 0.500 Te
0.000 0.000 0.752 Te
0.000 0.000 0.248 Te
0.500 0.500 0.000 Te
```

CaPrTm2Te4: optimized geometry, PBE.

Calculated values
formation energy without anion corrections: -130.5 kJ/mol of atoms
E_tot: -4.89 eV per atom
SG: P2/m, No. 10

Structure (POSCAR):
```
CaPrTm2Te4
1.0
4.369 0.000 0.000
0.000 7.669 0.173
0.000 -2.638 7.168
Ca Pr Tm Te
1 1 2 4
Direct
0.500 0.500 0.000 Ca
0.000 0.000 0.000 Pr
0.500 0.000 0.500 Tm
0.000 0.500 0.500 Tm
0.500 0.260 0.265 Te
0.500 0.740 0.735 Te
0.000 0.250 0.737 Te
0.000 0.750 0.263 Te
```

Ca3Pr3TmTe8: optimized geometry, PBE.

Calculated values
formation energy without anion corrections: -145.9 kJ/mol of atoms
E_tot: -4.84 eV per atom
SG: R-3m, No. 166

Structure (POSCAR):
```
Ca3Pr3TmTe8
1.0
8.955 0.000 0.000
-4.477 7.752 -0.028
0.000 -5.143 7.448
Ca Pr Tm Te
3 3 1 8
Direct
0.000 0.000 0.000 Ca
0.000 0.500 0.000 Ca
0.500 0.500 0.000 Ca
0.500 0.000 0.500 Pr
0.500 0.500 0.500 Pr
0.000 0.500 0.500 Pr
0.000 0.000 0.500 Tm
0.248 0.495 0.243 Te
0.752 0.505 0.757 Te
0.756 0.512 0.253 Te
0.244 0.488 0.747 Te
0.756 0.997 0.254 Te
0.244 0.003 0.746 Te
0.241 0.997 0.254 Te
0.759 0.003 0.746 Te
```

CaPr4Tm3Te8: optimized geometry, PBE.

Calculated values
formation energy without anion corrections: -131.6 kJ/mol of atoms
E_tot: -5.09 eV per atom
SG: R-3m, No. 166

Structure (POSCAR):
```
CaPr4Tm3Te8
1.0
-0.107 -7.278 4.801
7.703 2.531 4.008
-6.813 5.440 0.175
Ca Pr Tm Te
1 4 3 8
Direct
0.000 0.500 0.000 Ca
0.500 0.000 0.000 Pr
0.500 0.000 0.500 Pr
0.000 0.000 0.000 Pr
0.000 0.000 0.500 Pr
0.500 0.500 0.000 Tm
0.500 0.500 0.500 Tm
0.000 0.500 0.500 Tm
0.246 0.733 0.987 Te
0.246 0.733 0.492 Te
0.257 0.270 0.513 Te
0.740 0.733 0.987 Te
0.260 0.267 0.013 Te
0.743 0.730 0.487 Te
0.754 0.267 0.508 Te
0.754 0.267 0.013 Te
```

Ca3PrTm2Te6: optimized geometry, PBE.

Calculated values
formation energy without anion corrections: -139.3 kJ/mol of atoms
E_tot: -4.66 eV per atom
SG: C2/m, No. 12

Structure (POSCAR):
```
Ca3PrTm2Te6
1.0
4.396 0.000 0.000
0.000 8.951 0.236
-2.198 -2.668 9.358
Ca Pr Tm Te
3 1 2 6
Direct
0.500 0.500 0.000 Ca
0.837 0.168 0.674 Ca
0.163 0.832 0.326 Ca
0.500 0.000 0.000 Pr
0.837 0.676 0.675 Tm
0.163 0.324 0.325 Tm
0.329 0.909 0.658 Te
0.671 0.574 0.343 Te
0.671 0.091 0.342 Te
0.002 0.260 0.005 Te
0.998 0.740 0.995 Te
0.329 0.426 0.657 Te
```

CaPr2Y3Te6: optimized geometry, PBE.

Calculated values
formation energy without anion corrections: -136.5 kJ/mol of atoms
E_tot: -5.57 eV per atom
SG: C2/m, No. 12

Structure (POSCAR):
```
CaPr2Y3Te6
1.0
-0.971 -2.660 3.391
-0.823 -6.885 -5.636
9.868 1.122 0.829
Ca Pr Y Te
1 2 3 6
Direct
0.500 0.000 0.000 Ca
0.827 0.656 0.654 Pr
0.173 0.344 0.346 Pr
0.500 0.500 0.000 Y
0.830 0.171 0.659 Y
0.170 0.829 0.341 Y
0.334 0.926 0.668 Te
0.660 0.591 0.321 Te
0.666 0.074 0.332 Te
0.998 0.251 0.996 Te
0.002 0.749 0.004 Te
0.340 0.409 0.679 Te
```

Question: Which formula does entry 9 have?
Answer: Ca3Pr3TmTe8

Question: formation energy without anion corrections of number 6 (Ca2PrTlTe4)?
Answer: -126.4 kJ/mol of atoms

Please write out number 3 again, unchanged.
Ca5PrTe6: optimized geometry, PBE.

Calculated values
formation energy without anion corrections: -153.7 kJ/mol of atoms
E_tot: -4.40 eV per atom
SG: C2/m, No. 12

Structure (POSCAR):
```
Ca5PrTe6
1.0
7.686 -0.119 -1.450
-4.152 6.469 -1.450
0.151 0.271 7.824
Pr Ca Te
1 5 6
Direct
0.000 0.000 0.000 Pr
0.834 0.166 0.500 Ca
0.667 0.333 0.000 Ca
0.500 0.500 0.500 Ca
0.333 0.667 0.000 Ca
0.166 0.834 0.500 Ca
0.419 0.084 0.252 Te
0.916 0.581 0.748 Te
0.252 0.252 0.749 Te
0.748 0.748 0.251 Te
0.084 0.419 0.252 Te
0.581 0.916 0.748 Te
```

Question: Number 11 is which compound?
Answer: Ca3PrTm2Te6